# 1
# MgTe2Au, single point on PBEsol structure, DFT SCAN
# calculated density: 8.5 Mg/m³
# space-group type: P4/mmm, No. 123
# E_form (uncorrected): -36.2 meV/atom
# DFT total energy: -148.778 eV/f.u.
# magnetization: 0.00 μB/cell
data_MgTe2Au
_chemical_formula_sum 'Mg1 Te2 Au1'
_space_group_name_H-M_alt 'P 1'
_space_group_IT_number 1
_cell_length_a 3.866
_cell_length_b 3.866
_cell_length_c 6.232
_cell_angle_alpha 90.00
_cell_angle_beta 90.00
_cell_angle_gamma 90.00
loop_
_space_group_symop_operation_xyz
'x,y,z'
loop_
_atom_site_label
_atom_site_fract_x
_atom_site_fract_y
_atom_site_fract_z
Te1 0.000 0.000 0.750
Te2 0.000 0.000 0.250
Au1 0.500 0.500 0.000
Mg1 0.500 0.500 0.500



# 2
# BiIr2Br, single point on PBEsol structure, DFT SCAN
# calculated density: 15.4 Mg/m³
# space-group type: Fm-3m, No. 225
# E_form (uncorrected): 1181.0 meV/atom
# DFT total energy: -235.513 eV/f.u.
# magnetization: 0.90 μB/cell
data_BiIr2Br
_chemical_formula_sum 'Bi1 Ir2 Br1'
_space_group_name_H-M_alt 'P 1'
_space_group_IT_number 1
_cell_length_a 4.683
_cell_length_b 4.683
_cell_length_c 4.683
_cell_angle_alpha 60.00
_cell_angle_beta 60.00
_cell_angle_gamma 60.00
loop_
_space_group_symop_operation_xyz
'x,y,z'
loop_
_atom_site_label
_atom_site_fract_x
_atom_site_fract_y
_atom_site_fract_z
Bi1 0.500 0.500 0.500
Ir1 0.750 0.750 0.750
Ir2 0.250 0.250 0.250
Br1 0.000 0.000 0.000



# 3
# Li4Y3CrO8, single point on PBEsol structure, DFT SCAN
# calculated density: 4.4 Mg/m³
# space-group type: C222, No. 21
# E_form (uncorrected): -2982.1 meV/atom
# DFT total energy: -209.035 eV/f.u.
# magnetization: 3.00 μB/cell
data_Li4Y3CrO8
_chemical_formula_sum 'Li4 Y3 Cr1 O8'
_space_group_name_H-M_alt 'P 1'
_space_group_IT_number 1
_cell_length_a 5.709
_cell_length_b 5.709
_cell_length_c 6.108
_cell_angle_alpha 90.00
_cell_angle_beta 90.00
_cell_angle_gamma 115.51
loop_
_space_group_symop_operation_xyz
'x,y,z'
loop_
_atom_site_label
_atom_site_fract_x
_atom_site_fract_y
_atom_site_fract_z
Cr1 0.000 0.000 0.500
O1 0.231 0.252 0.735
O2 0.252 0.231 0.265
O3 0.729 0.271 0.000
O4 0.769 0.748 0.735
O5 0.748 0.769 0.265
O6 0.791 0.209 0.500
O7 0.209 0.791 0.500
O8 0.271 0.729 0.000
Li1 0.500 0.500 0.500
Li2 0.500 0.000 0.754
Li3 0.000 0.000 0.000
Li4 0.000 0.500 0.246
Y1 0.000 0.500 0.740
Y2 0.500 0.500 0.000
Y3 0.500 0.000 0.260



# 4
# ZnMoPt, single point on PBEsol structure, DFT SCAN
# calculated density: 12.2 Mg/m³
# space-group type: F-43m, No. 216
# DFT total energy: -117.170 eV/f.u.
# magnetization: 0.55 μB/cell
data_ZnMoPt
_chemical_formula_sum 'Zn1 Mo1 Pt1'
_space_group_name_H-M_alt 'P 1'
_space_group_IT_number 1
_cell_length_a 4.093
_cell_length_b 4.093
_cell_length_c 4.093
_cell_angle_alpha 60.00
_cell_angle_beta 60.00
_cell_angle_gamma 60.00
loop_
_space_group_symop_operation_xyz
'x,y,z'
loop_
_atom_site_label
_atom_site_fract_x
_atom_site_fract_y
_atom_site_fract_z
Mo1 0.000 0.000 0.000
Zn1 0.250 0.250 0.250
Pt1 0.500 0.500 0.500



# 5
# SiAgI3, single point on PBEsol structure, DFT SCAN
# calculated density: 5.2 Mg/m³
# space-group type: Pm-3m, No. 221
# E_form (uncorrected): 619.4 meV/atom
# DFT total energy: -148.511 eV/f.u.
# magnetization: 0.71 μB/cell
data_SiAgI3
_chemical_formula_sum 'Si1 Ag1 I3'
_space_group_name_H-M_alt 'P 1'
_space_group_IT_number 1
_cell_length_a 5.496
_cell_length_b 5.496
_cell_length_c 5.496
_cell_angle_alpha 90.00
_cell_angle_beta 90.00
_cell_angle_gamma 90.00
loop_
_space_group_symop_operation_xyz
'x,y,z'
loop_
_atom_site_label
_atom_site_fract_x
_atom_site_fract_y
_atom_site_fract_z
Si1 0.500 0.500 0.500
Ag1 0.000 0.000 0.000
I1 0.000 0.500 0.000
I2 0.000 0.000 0.500
I3 0.500 0.000 0.000



# 6
# LaCdRe2, single point on PBEsol structure, DFT SCAN
# calculated density: 13.4 Mg/m³
# space-group type: P2/m, No. 10
# DFT total energy: -212.537 eV/f.u.
# magnetization: 0.00 μB/cell
data_LaCdRe2
_chemical_formula_sum 'La1 Cd1 Re2'
_space_group_name_H-M_alt 'P 1'
_space_group_IT_number 1
_cell_length_a 2.990
_cell_length_b 4.937
_cell_length_c 5.250
_cell_angle_alpha 90.00
_cell_angle_beta 92.23
_cell_angle_gamma 90.00
loop_
_space_group_symop_operation_xyz
'x,y,z'
loop_
_atom_site_label
_atom_site_fract_x
_atom_site_fract_y
_atom_site_fract_z
Re1 0.688 0.000 0.718
Re2 0.312 0.000 0.282
Cd1 0.500 0.500 0.000
La1 0.000 0.500 0.500



Which value of calculated density does entry 1 give? 8.5 Mg/m³



Which formula does entry 5 have? SiAgI3



What is the calculated density in the fifth record? 5.2 Mg/m³